Computed, not measured: CaPPb after structural relaxation at the PBE level of DFT.

Results
Crystal system: hexagonal

Cell lengths 4.9568, 4.9568, 11.2116 Å; angles 90.00, 90.00, 120.00 degrees
Element x y z (fractional)
1 Ca 0.6667 0.3333 0.3337
2 Ca 0.6667 0.3333 0.6663
3 Ca 0.6667 0.3333 0.0000
4 P 0.0000 0.0000 0.2005
5 P 0.3333 0.6667 0.5000
6 P 0.0000 0.0000 0.7995
7 Pb 0.3333 0.6667 0.1581
8 Pb 0.0000 0.0000 0.5000
9 Pb 0.3333 0.6667 0.8419

=====

Computed, not measured: CaP2Pb2 after structural relaxation at the PBE level of DFT.

Results
Crystal system: tetragonal

Cell lengths 7.9703, 7.9703, 4.0942 Å; angles 90.00, 90.00, 90.00 degrees
Element x y z (fractional)
1 P 0.6809 0.1809 0.0000
2 P 0.1809 0.3191 0.0000
3 P 0.3191 0.8191 0.0000
4 P 0.8191 0.6809 0.0000
5 Ca 0.0000 0.0000 0.0000
6 Ca 0.5000 0.5000 0.0000
7 Pb 0.8561 0.3561 0.5000
8 Pb 0.6439 0.8561 0.5000
9 Pb 0.3561 0.1439 0.5000
10 Pb 0.1439 0.6439 0.5000

=====

Computed, not measured: Ca3PPb2 after structural relaxation at the PBE level of DFT.

Results
Crystal system: hexagonal

Cell lengths 7.3780, 7.3780, 7.7615 Å; angles 90.00, 90.00, 120.00 degrees
Element x y z (fractional)
1 Ca 0.1587 0.8413 0.2500
2 Ca 0.3174 0.1587 0.7500
3 Ca 0.8413 0.1587 0.7500
4 Ca 0.6826 0.8413 0.2500
5 Ca 0.8413 0.6826 0.7500
6 Ca 0.1587 0.3174 0.2500
7 Pb 0.6667 0.3333 0.0659
8 Pb 0.3333 0.6667 0.9341
9 Pb 0.3333 0.6667 0.5659
10 Pb 0.6667 0.3333 0.4341
11 P 0.0000 0.0000 0.5000
12 P 0.0000 0.0000 0.0000

=====

Computed, not measured: CaP2Pb2 after structural relaxation at the PBE level of DFT.

Results
Crystal system: tetragonal

Cell lengths 4.3710, 4.3710, 7.5979 Å; angles 73.28, 73.28, 90.00 degrees
Element x y z (fractional)
1 Ca 0.0000 0.0000 0.0000
2 Pb 0.7500 0.2500 0.5000
3 Pb 0.2500 0.7500 0.5000
4 P 0.5779 0.5779 0.8443
5 P 0.4221 0.4221 0.1557

=====

Computed, not measured: CaPPb4 after structural relaxation at the PBE level of DFT.

Results
Crystal system: cubic

Cell lengths 6.3939, 6.3939, 6.3939 Å; angles 60.00, 60.00, 60.00 degrees
Element x y z (fractional)
1 Pb 0.3748 0.3748 0.3748
2 Pb 0.8755 0.3748 0.3748
3 Pb 0.3748 0.3748 0.8755
4 Pb 0.3748 0.8755 0.3748
5 P 0.0000 0.0000 0.0000
6 Ca 0.7500 0.7500 0.7500

=====

Computed, not measured: CaPPb after structural relaxation at the PBE level of DFT.

Results
Crystal system: monoclinic

Cell lengths 8.9575, 5.2098, 7.3960 Å; angles 101.72, 90.00, 90.00 degrees
Element x y z (fractional)
1 P 0.6738 0.7804 0.1097
2 P 0.8262 0.2804 0.6097
3 P 0.3262 0.2196 0.8903
4 P 0.1738 0.7196 0.3903
5 Ca 0.3509 0.7650 0.0735
6 Ca 0.6491 0.2350 0.9265
7 Ca 0.1491 0.2650 0.5735
8 Ca 0.8509 0.7350 0.4265
9 Pb 0.0741 0.2855 0.1047
10 Pb 0.9259 0.7145 0.8953
11 Pb 0.5741 0.2145 0.3953
12 Pb 0.4259 0.7855 0.6047

=====

Computed, not measured: CaPPb after structural relaxation at the PBE level of DFT.

Results
Crystal system: cubic

Cell lengths 4.9567, 4.9567, 4.9567 Å; angles 60.00, 60.00, 60.00 degrees
Element x y z (fractional)
1 Ca 0.5000 0.5000 0.5000
2 Pb 0.0000 0.0000 0.0000
3 P 0.7500 0.7500 0.7500

=====

Computed, not measured: CaP2Pb2 after structural relaxation at the PBE level of DFT.

Results
Crystal system: tetragonal

Cell lengths 5.3887, 5.3887, 6.1305 Å; angles 63.93, 63.93, 90.00 degrees
Element x y z (fractional)
1 P 0.7500 0.2500 0.5000
2 P 0.2500 0.7500 0.5000
3 Ca 0.0000 0.0000 0.0000
4 Pb 0.6606 0.6606 0.6789
5 Pb 0.3394 0.3394 0.3211

=====

Computed, not measured: CaPPb3 after structural relaxation at the PBE level of DFT.

Results
Crystal system: cubic
Polymorph energy (0 for the lowest one) in kcal/mol of atoms: 20.28

Cell lengths 5.8081, 5.8081, 5.8081 Å; angles 90.00, 90.00, 90.00 degrees
Element x y z (fractional)
1 P 0.5000 0.5000 0.5000
2 Pb 0.0000 0.5000 0.0000
3 Pb 0.0000 0.0000 0.5000
4 Pb 0.5000 0.0000 0.0000
5 Ca 0.0000 0.0000 0.0000

=====

Computed, not measured: CaPPb after structural relaxation at the PBE level of DFT.

Results
Crystal system: hexagonal

Cell lengths 8.0580, 8.0580, 4.2924 Å; angles 90.00, 90.00, 120.00 degrees
Element x y z (fractional)
1 Pb 0.6667 0.3333 0.0000
2 Pb 0.3333 0.6667 0.0000
3 Pb 0.0000 0.0000 0.5000
4 P 0.2912 0.0000 0.0000
5 P 0.0000 0.2912 0.0000
6 P 0.7088 0.7088 0.0000
7 Ca 0.5701 0.0000 0.5000
8 Ca 0.4299 0.4299 0.5000
9 Ca 0.0000 0.5701 0.5000

=====

Computed, not measured: CaPPb3 after structural relaxation at the PBE level of DFT.

Results
Crystal system: cubic
Polymorph energy (0 for the lowest one) in kcal/mol of atoms: 0.00

Cell lengths 5.5004, 5.5004, 5.5004 Å; angles 90.00, 90.00, 90.00 degrees
Element x y z (fractional)
1 Pb 0.0000 0.5000 0.0000
2 Pb 0.0000 0.0000 0.5000
3 Pb 0.5000 0.0000 0.0000
4 P 0.0000 0.0000 0.0000
5 Ca 0.5000 0.5000 0.5000

=====

Computed, not measured: Ca2P2Pb5 after structural relaxation at the PBE level of DFT.

Results
Crystal system: orthorhombic

Cell lengths 3.8146, 8.3680, 15.9539 Å; angles 90.00, 90.00, 90.00 degrees
Element x y z (fractional)
1 Pb 0.0000 0.6425 0.8971
2 Pb 0.0000 0.8575 0.3971
3 Pb 0.0000 0.5000 0.5000
4 Pb 0.5000 0.2002 0.4122
5 Pb 0.5000 0.2998 0.9122
6 Pb 0.0000 0.0000 0.0000
7 Pb 0.0000 0.1425 0.6029
8 Pb 0.5000 0.7998 0.5878
9 Pb 0.5000 0.7002 0.0878
10 Pb 0.0000 0.3575 0.1029
11 Ca 0.5000 0.5409 0.2882
12 Ca 0.5000 0.9592 0.7882
13 Ca 0.5000 0.0408 0.2118
14 Ca 0.5000 0.4592 0.7118
15 P 0.0000 0.2207 0.7738
16 P 0.0000 0.7207 0.7262
17 P 0.0000 0.7793 0.2262
18 P 0.0000 0.2793 0.2738

=====

Energy of formation from the pure elements for the records above, in order: -0.288, -0.155, -0.606, -0.207, 0.221, -0.568, -0.382, -0.023, 1.040, -0.264, 0.161, -0.364 eV/atom
Magnetic moment for the records above, in order: 0.000, 0.000, 0.000, 0.000, 0.000, 0.000, 0.000, 0.000, 0.145, 0.000, 0.000, 0.000 μB per atom
Ρ for the records above, in order: 5.81, 6.59, 5.13, 6.47, 8.08, 5.47, 5.37, 6.15, 5.87, 5.74, 6.91, 7.68 Mg/m³